Entry 1:
InFeAg2Te after structural relaxation, computed with GGA-PBEsol.

* DOS at the Fermi energy: 9.236 states/eV per cell
* total moment: 3.62 μB per cell
* crystal system: tetragonal
* formation energy from raw total energies: 1.27 eV per atom

Structure (CIF):
```
data_InFeAg2Te
_chemical_formula_sum 'In1 Fe1 Ag2 Te1'
_space_group_name_H-M_alt 'P 4/m m m'
_space_group_IT_number 123
_space_group_name_Hall '-P 4 2'
_cell_length_a 4.9954
_cell_length_b 4.9954
_cell_length_c 5.6814
_cell_angle_alpha 90.00
_cell_angle_beta 90.00
_cell_angle_gamma 90.00
loop_
_atom_site_label
_atom_site_type_symbol
_atom_site_fract_x
_atom_site_fract_y
_atom_site_fract_z
_atom_site_occupancy
In1 In 0.0000 0.0000 0.0000 1
Fe1 Fe 0.5000 0.5000 0.5000 1
Ag1 Ag 0.0000 0.5000 0.0000 1
Te1 Te 0.0000 0.0000 0.5000 1
```

Entry 2:
K2FeAg after structural relaxation, computed with GGA-PBEsol.

* DOS at the Fermi energy: 7.864 states/eV per cell
* total moment: 12.08 μB per cell
* ΔE_f: 0.90 eV per atom
* crystal system: cubic
* energy above the lowest structure with this stoichiometry: 104 meV/atom

Structure (CIF):
```
data_K2FeAg
_chemical_formula_sum 'K8 Fe4 Ag4'
_space_group_name_H-M_alt 'F -4 3 m'
_space_group_IT_number 216
_space_group_name_Hall 'F -4 2 3'
_cell_length_a 7.4640
_cell_length_b 7.4640
_cell_length_c 7.4640
_cell_angle_alpha 90.00
_cell_angle_beta 90.00
_cell_angle_gamma 90.00
loop_
_atom_site_label
_atom_site_type_symbol
_atom_site_fract_x
_atom_site_fract_y
_atom_site_fract_z
_atom_site_occupancy
K1 K 0.0000 0.0000 0.0000 1
K2 K 0.2500 0.2500 0.2500 1
Fe1 Fe 0.2500 0.2500 0.7500 1
Ag1 Ag 0.0000 0.0000 0.5000 1
```

Entry 3:
KFe2Ag after structural relaxation, computed with GGA-PBEsol.

* DOS at the Fermi energy: 3.286 states/eV per cell
* total moment: 4.81 μB per cell
* ΔE_f: 0.61 eV per atom
* crystal system: tetragonal
* energy above the lowest structure with this stoichiometry: 0 meV/atom

Structure (CIF):
```
data_KFe2Ag
_chemical_formula_sum 'K1 Fe2 Ag1'
_space_group_name_H-M_alt 'P 4 m m'
_space_group_IT_number 99
_cell_length_a 2.9875
_cell_length_b 2.9875
_cell_length_c 8.1590
_cell_angle_alpha 90.00
_cell_angle_beta 90.00
_cell_angle_gamma 90.00
loop_
_space_group_symop_operation_xyz
'x,y,z'
'-y,x,z'
'-x,-y,z'
'y,-x,z'
'-x,y,z'
'y,x,z'
'x,-y,z'
'-y,-x,z'
loop_
_atom_site_label
_atom_site_type_symbol
_atom_site_fract_x
_atom_site_fract_y
_atom_site_fract_z
_atom_site_occupancy
K1 K 0.0000 0.0000 0.0000 1
Fe1 Fe 0.0000 0.0000 0.5492 1
Fe2 Fe 0.5000 0.5000 0.6729 1
Ag1 Ag 0.5000 0.5000 0.3332 1
```

Q: What is the formula in the first record?
A: InFeAg2Te

Q: Among the records above, which one has the lowest DOS at the Fermi energy?
A: KFe2Ag